First-principles (GGA-PBE) data for a relaxed structure of ErFe12Ge6, as listed in the Alexandria database.

```
19
Lattice="5.3315 3.0781 2.7389 -5.3315 3.0781 2.7389 0.0000 -6.1562 2.7389" Properties=species:S:1:pos:R:3 pbc="T T T"
Er 0.0000 0.0000 0.0000
Fe -2.0688 -3.5832 4.1083
Fe -4.1375 0.0000 4.1083
Fe -1.3511 -0.7800 2.6885
Fe 1.3511 -0.7800 2.6885
Fe 0.0000 1.5601 2.6885
Fe 2.0688 -3.5832 4.1083
Fe -2.0688 3.5832 4.1083
Fe 0.0000 -1.5601 5.5281
Fe -1.3511 0.7800 5.5281
Fe 1.3511 0.7800 5.5281
Fe 4.1375 0.0000 4.1083
Fe 2.0688 3.5832 4.1083
Ge 0.0000 -2.8436 3.4012
Ge -2.4627 1.4218 3.4012
Ge -2.4627 -1.4218 4.8154
Ge 2.4627 1.4218 3.4012
Ge 2.4627 -1.4218 4.8154
Ge 0.0000 2.8436 4.8154
```

Values from the calculation:
- energy relative to the elements (eV/atom) = 0.02
- DOS at the Fermi energy (states/eV/f.u.) = 19.77
- symmetry = R-3m

---

First-principles (GGA-PBE) data for a relaxed structure of Er2Fe3Ge4, as listed in the Alexandria database.

```
9
Lattice="0.0000 4.6243 6.1459 2.6204 0.0000 6.1459 2.6204 4.6243 0.0000" Properties=species:S:1:pos:R:3 pbc="T T T"
Er 2.6204 4.6243 1.6639
Er 2.6204 4.6243 10.6278
Fe 1.3102 2.3122 0.0000
Fe 1.3102 2.3122 6.1459
Fe 2.6204 4.6243 6.1459
Ge 2.6204 3.0709 4.2094
Ge 2.6204 3.0709 8.0823
Ge 2.6204 6.1777 4.2094
Ge 2.6204 6.1777 8.0823
```

Values from the calculation:
- energy relative to the elements (eV/atom) = -0.42
- energy above the lowest structure with this stoichiometry (meV per atom) = 10.6
- DOS at the Fermi energy (states/eV/f.u.) = 5.00
- symmetry = Fmmm

---

First-principles (GGA-PBE) data for a relaxed structure of ErFe4Ge12, as listed in the Alexandria database.

```
17
Lattice="-4.2236 4.2236 4.2236 4.2236 -4.2236 4.2236 4.2236 4.2236 -4.2236" Properties=species:S:1:pos:R:3 pbc="T T T"
Er 0.0000 0.0000 0.0000
Fe 2.1118 2.1118 -2.1118
Fe 2.1118 -2.1118 2.1118
Fe -2.1118 2.1118 2.1118
Fe 2.1118 2.1118 2.1118
Ge 2.8606 0.0000 1.3910
Ge 5.5867 0.0000 1.3910
Ge 4.2236 2.8327 -1.3630
Ge 1.3910 2.8606 0.0000
Ge 2.8327 -1.3630 4.2236
Ge 4.2236 2.8327 1.3630
Ge 0.0000 1.3910 2.8606
Ge 1.3910 5.5867 0.0000
Ge 2.8327 1.3630 4.2236
Ge 0.0000 1.3910 5.5867
Ge -1.3630 4.2236 2.8327
Ge 1.3630 4.2236 2.8327
```

Values from the calculation:
- energy relative to the elements (eV/atom) = 0.05
- DOS at the Fermi energy (states/eV/f.u.) = 16.69
- symmetry = Im-3

---

First-principles (GGA-PBE) data for a relaxed structure of Er3FeGe3, as listed in the Alexandria database.

```
14
Lattice="2.0394 -5.2053 0.0000 2.0394 5.2053 0.0000 0.0000 0.0000 13.4281" Properties=species:S:1:pos:R:3 pbc="T T T"
Er 2.0394 5.1630 10.0711
Er 2.0394 2.2192 8.0665
Er 2.0394 2.2192 12.0758
Er 2.0394 -2.2192 1.3524
Er 2.0394 -2.2192 5.3617
Er 2.0394 -5.1630 3.3570
Fe 0.0000 0.0000 0.0000
Fe 0.0000 0.0000 6.7141
Ge 2.0394 2.3508 3.3570
Ge 2.0394 0.7349 1.2216
Ge 2.0394 0.7349 5.4925
Ge 2.0394 -0.7349 7.9357
Ge 2.0394 -0.7349 12.2065
Ge 2.0394 -2.3508 10.0711
```

Values from the calculation:
- energy relative to the elements (eV/atom) = -0.67
- energy above the lowest structure with this stoichiometry (meV per atom) = 59.1
- DOS at the Fermi energy (states/eV/f.u.) = 5.18
- symmetry = Cmcm

---

First-principles (GGA-PBE) data for a relaxed structure of Er2Fe3Ge4, as listed in the Alexandria database.

```
18
Lattice="2.7203 -7.2691 0.0000 2.7203 7.2691 0.0000 0.0000 0.0000 7.2996" Properties=species:S:1:pos:R:3 pbc="T T T"
Er 2.7203 5.6447 6.6137
Er 2.7203 1.6244 2.9639
Er 2.7203 -1.6244 4.3357
Er 2.7203 -5.6447 0.6859
Fe 0.0000 0.0000 3.6498
Fe 1.3601 3.2575 5.4747
Fe 1.3601 -3.2575 1.8249
Fe 2.7203 0.0000 0.0000
Fe 4.0804 3.2575 5.4747
Fe 4.0804 -3.2575 1.8249
Ge 2.7203 4.5919 3.8477
Ge 1.3601 0.8189 5.4747
Ge 1.3601 -0.8189 1.8249
Ge 2.7203 2.6772 0.1979
Ge 2.7203 -2.6772 7.1017
Ge 4.0804 0.8189 5.4747
Ge 4.0804 -0.8189 1.8249
Ge 2.7203 -4.5919 3.4519
```

Values from the calculation:
- energy relative to the elements (eV/atom) = -0.43
- energy above the lowest structure with this stoichiometry (meV per atom) = 0.0
- DOS at the Fermi energy (states/eV/f.u.) = 7.54
- symmetry = Cmce

---

First-principles (GGA-PBE) data for a relaxed structure of ErFe3Ge2, as listed in the Alexandria database.

```
12
Lattice="7.4018 -1.9234 0.0000 7.4018 1.9234 0.0000 -3.1901 0.0000 6.4572" Properties=species:S:1:pos:R:3 pbc="T T T"
Er 1.9689 0.0000 0.3770
Er 9.6446 0.0000 6.0802
Fe -0.6413 0.0000 2.5623
Fe 2.8546 0.0000 3.4309
Fe 5.0465 0.0000 2.3179
Fe 6.5670 0.0000 4.1394
Fe 8.7590 0.0000 3.0264
Fe 12.2548 0.0000 3.8949
Ge 0.6675 0.0000 4.5468
Ge 4.4633 0.0000 5.2346
Ge 7.1502 0.0000 1.2226
Ge 10.9460 0.0000 1.9105
```

Values from the calculation:
- energy relative to the elements (eV/atom) = -0.35
- DOS at the Fermi energy (states/eV/f.u.) = 4.51
- symmetry = C2/m